A plane-wave DFT calculation with GGA-PBE was carried out for an optimized crystal structure of TbPr2SmS6.

a = 7.146 Å, b = 7.146 Å, c = 7.502 Å
α = 61.56°, β = 61.56°, γ = 60.00°
Element x y z (fractional)
Tb 0.316 0.316 0.052
Pr 0.523 0.523 0.432
Pr 0.021 0.021 0.936
Sm 0.814 0.814 0.557
S 0.607 0.203 0.256
S 0.203 0.934 0.256
S 0.934 0.607 0.256
S 0.428 0.701 0.757
S 0.701 0.114 0.757
S 0.114 0.428 0.757

## Properties
Its magnetization is 0.0 μB/cell. Its energy is -6.39 eV per atom. For the density of states at the Fermi level, the calculation gives 0.000 states/eV/atom.